# PBE with a Hubbard U LiCo2O4, relaxed
# Crystal system   tetragonal
# Energy relative to the lowest polymorph listed for this composition   0.48 eV/f.u.
# Final energy   -158.26 eV per cell
data_LiCo2O4
_chemical_formula_sum 'Li4 Co8 O16'
_cell_length_a 5.758
_cell_length_b 5.758
_cell_length_c 8.073
_cell_angle_alpha 90.00
_cell_angle_beta 90.00
_cell_angle_gamma 90.00
_space_group_name_H-M_alt 'P 43 2 2'
_space_group_IT_number 95
loop_
_space_group_symop_operation_xyz
'x,y,z'
'-y,x,z+3/4'
'-x,-y,z+1/2'
'y,-x,z+1/4'
'x,-y,-z+1/2'
'-y,-x,-z+3/4'
'-x,y,-z'
'y,x,-z+1/4'
loop_
_atom_site_label
_atom_site_fract_x
_atom_site_fract_y
_atom_site_fract_z
Li1 0.000 0.245 0.000
Co1 0.243 0.243 0.625
Co2 0.252 0.500 0.250
O1 0.023 0.271 0.258
O2 0.270 0.483 0.013